4
Lattice="-1.025 2.460 4.505 1.092 -5.596 0.176 3.047 -0.338 0.704" Properties=species:S:1:pos:R:3 comment="AlInAg2, optimized geometry, DFT GGA-PBE" energy_ev_per_atom=-2.95 spacegroup="C2/m (12)" pbc="T T T"
Ag 0.000 0.000 0.000
Ag 1.011 1.061 2.605
Al 2.070 -2.967 0.440
In 0.033 -1.568 2.341